[1]
## La2Tb6PmTm3 (PBE)

Data for a relaxed La2Tb6PmTm3 crystal.

Output
Symmetry ... C2/m, No. 12
Magnetic moment ... 0.00 μB/cell
Total DFT energy (no corrections) ... -4.63 eV per atom
ΔE_f ... 2.4 kJ per mole of atoms

POSCAR file:
```
La2Tb6PmTm3
1.0
3.1041 -5.3775 0.0000
3.1041 5.3775 0.0000
-2.0711 0.0000 11.6856
La Tb Pm Tm
2 6 1 3
Direct
0.1663 0.8337 0.0000
0.8337 0.1663 0.0000
0.0810 0.4138 0.7435
0.2536 0.2536 0.2567
0.4138 0.0810 0.7435
0.5862 0.9190 0.2565
0.7464 0.7464 0.7433
0.9190 0.5862 0.2565
0.5000 0.5000 0.0000
0.0000 0.0000 0.5000
0.3335 0.6665 0.5000
0.6665 0.3335 0.5000
```

***

[2]
## RbAlTcGe2 (PBE)

Data for a relaxed RbAlTcGe2 crystal.

Output
Symmetry ... P4/mmm, No. 123
Magnetic moment ... 0.00 μB/cell
Total DFT energy (no corrections) ... -4.85 eV per atom
ΔE_f ... 0.9 kJ per mole of atoms

POSCAR file:
```
RbAlTcGe2
1.0
4.9053 0.0000 0.0000
0.0000 4.9053 0.0000
0.0000 0.0000 4.9111
Rb Al Tc Ge
1 1 1 2
Direct
0.0000 0.0000 0.0000
0.5000 0.5000 0.0000
0.5000 0.5000 0.5000
0.0000 0.5000 0.5000
0.5000 0.0000 0.5000
```

***

[3]
## LaYOs2 (PBE)

Data for a relaxed LaYOs2 crystal.

Output
Excess energy over the best structure of this formula in the dataset ... 236 meV/atom
Symmetry ... Fm-3m, No. 225
Magnetic moment ... 0.00 μB/cell
Total DFT energy (no corrections) ... -8.32 eV per atom
ΔE_f ... 13.5 kJ per mole of atoms

POSCAR file:
```
LaYOs2
1.0
0.0000 3.4871 3.4871
3.4871 0.0000 3.4871
3.4871 3.4871 0.0000
La Y Os
1 1 2
Direct
0.0000 0.0000 0.0000
0.5000 0.5000 0.5000
0.2500 0.2500 0.2500
0.7500 0.7500 0.7500
```

***

[4]
## Ba2GaHgN (PBE)

Data for a relaxed Ba2GaHgN crystal.

Output
Raw formation energy ... -316 meV per atom
Symmetry ... P4/mmm, No. 123
Magnetic moment ... 0.00 μB/cell
Total DFT energy (no corrections) ... -3.42 eV per atom

POSCAR file:
```
Ba2GaHgN
1.0
5.8621 0.0000 0.0000
0.0000 5.8621 0.0000
0.0000 0.0000 4.0977
Ba Ga Hg N
2 1 1 1
Direct
0.0000 0.5000 0.0000
0.5000 0.0000 0.0000
0.0000 0.0000 0.5000
0.5000 0.5000 0.5000
0.0000 0.0000 0.0000
```

***

[5]
## V2Zn2Bi (PBE)

Data for a relaxed V2Zn2Bi crystal.

Output
Symmetry ... P4/mbm, No. 127
Magnetic moment ... 0.00 μB/cell
Total DFT energy (no corrections) ... -4.61 eV per atom
ΔE_f ... 31.4 kJ per mole of atoms

POSCAR file:
```
V2Zn2Bi
1.0
6.8718 0.0000 0.0000
0.0000 6.8718 0.0000
0.0000 0.0000 3.7261
V Zn Bi
4 4 2
Direct
0.1140 0.3860 0.0000
0.3860 0.8860 0.0000
0.6140 0.1140 0.0000
0.8860 0.6140 0.0000
0.1720 0.6720 0.5000
0.3280 0.1720 0.5000
0.6720 0.8280 0.5000
0.8280 0.3280 0.5000
0.0000 0.0000 0.0000
0.5000 0.5000 0.0000
```

***

[6]
## ErGa4Pt2 (PBE)

Data for a relaxed ErGa4Pt2 crystal.

Output
Excess energy over the best structure of this formula in the dataset ... 120 meV/atom
Symmetry ... P4_2/mnm, No. 136
Magnetic moment ... 0.00 μB/cell
Total DFT energy (no corrections) ... -4.79 eV per atom
ΔE_f ... -65.6 kJ per mole of atoms

POSCAR file:
```
ErGa4Pt2
1.0
7.9040 0.0000 0.0000
0.0000 7.9040 0.0000
0.0000 0.0000 4.1080
Er Ga Pt
2 8 4
Direct
0.0000 0.0000 0.0000
0.5000 0.5000 0.5000
0.0814 0.3206 0.5000
0.1794 0.5814 0.0000
0.3206 0.0814 0.5000
0.4186 0.8206 0.0000
0.5814 0.1794 0.0000
0.6794 0.9186 0.5000
0.8206 0.4186 0.0000
0.9186 0.6794 0.5000
0.2188 0.7812 0.5000
0.2812 0.2812 0.0000
0.7188 0.7188 0.0000
0.7812 0.2188 0.5000
```

***

[7]
## TlFeAg2 (PBE)

Data for a relaxed TlFeAg2 crystal.

Output
Excess energy over the best structure of this formula in the dataset ... 12 meV/atom
Symmetry ... P4mm, No. 99
Magnetic moment ... 2.73 μB/cell
Total DFT energy (no corrections) ... -3.75 eV per atom
ΔE_f ... 36.8 kJ per mole of atoms

POSCAR file:
```
TlFeAg2
1.0
2.9913 0.0000 0.0000
0.0000 2.9913 0.0000
0.0000 0.0000 8.2343
Tl Fe Ag
1 1 2
Direct
0.0000 0.0000 0.0000
0.5000 0.5000 0.7502
0.0000 0.0000 0.5368
0.5000 0.5000 0.2906
```

***

[8]
## Ac3Ag3Ge2 (PBE)

Data for a relaxed Ac3Ag3Ge2 crystal.

Output
Symmetry ... Cmcm, No. 63
Magnetic moment ... 0.00 μB/cell
Total DFT energy (no corrections) ... -4.23 eV per atom
ΔE_f ... -45.4 kJ per mole of atoms

POSCAR file:
```
Ac3Ag3Ge2
1.0
2.2917 -5.9121 0.0000
2.2917 5.9121 0.0000
0.0000 0.0000 16.6911
Ac Ag Ge
6 6 4
Direct
0.1008 0.8992 0.7500
0.3742 0.6258 0.5891
0.3742 0.6258 0.9109
0.6258 0.3742 0.0891
0.6258 0.3742 0.4109
0.8992 0.1008 0.2500
0.0895 0.9105 0.5545
0.0895 0.9105 0.9455
0.1831 0.8169 0.2500
0.8169 0.1831 0.7500
0.9105 0.0895 0.0545
0.9105 0.0895 0.4455
0.3227 0.6773 0.1121
0.3227 0.6773 0.3879
0.6773 0.3227 0.6121
0.6773 0.3227 0.8879
```

***

[9]
## Pr3Dy5Se12 (PBE)

Data for a relaxed Pr3Dy5Se12 crystal.

Output
Raw formation energy ... -1723 meV per atom
Symmetry ... Ia-3d, No. 230
Magnetic moment ... 0.00 μB/cell
Total DFT energy (no corrections) ... -5.68 eV per atom

POSCAR file:
```
Pr3Dy5Se12
1.0
-8.5278 8.5278 8.5278
8.5278 -8.5278 8.5278
8.5278 8.5278 -8.5278
Pr Dy Se
12 20 48
Direct
0.1250 0.2500 0.3750
0.1250 0.3750 0.7500
0.2500 0.3750 0.1250
0.2500 0.8750 0.6250
0.3750 0.1250 0.2500
0.3750 0.7500 0.1250
0.6250 0.2500 0.8750
0.6250 0.8750 0.7500
0.7500 0.1250 0.3750
0.7500 0.6250 0.8750
0.8750 0.6250 0.2500
0.8750 0.7500 0.6250
0.0000 0.0000 0.0000
0.0000 0.0000 0.5000
0.0000 0.5000 0.0000
0.0000 0.5000 0.5000
0.1250 0.7500 0.8750
0.1250 0.8750 0.2500
0.2500 0.1250 0.8750
0.2500 0.6250 0.3750
0.3750 0.2500 0.6250
0.3750 0.6250 0.7500
0.5000 0.0000 0.0000
0.5000 0.0000 0.5000
0.5000 0.5000 0.0000
0.5000 0.5000 0.5000
0.6250 0.3750 0.2500
0.6250 0.7500 0.3750
0.7500 0.3750 0.6250
0.7500 0.8750 0.1250
0.8750 0.1250 0.7500
0.8750 0.2500 0.1250
0.0456 0.2202 0.1293
0.0456 0.3254 0.9164
0.0836 0.6293 0.4091
0.0836 0.9544 0.6746
0.0909 0.7202 0.6746
0.0909 0.8707 0.4164
0.1293 0.0456 0.2202
0.1293 0.5836 0.9091
0.1746 0.2202 0.5909
0.1746 0.4544 0.5836
0.2202 0.1293 0.0456
0.2202 0.5909 0.1746
0.2798 0.3254 0.9091
0.2798 0.4544 0.3707
0.3254 0.9091 0.2798
0.3254 0.9164 0.0456
0.3707 0.2798 0.4544
0.3707 0.5909 0.9164
0.4091 0.0836 0.6293
0.4091 0.8254 0.7798
0.4164 0.0909 0.8707
0.4164 0.8254 0.5456
0.4544 0.3707 0.2798
0.4544 0.5836 0.1746
0.5456 0.4164 0.8254
0.5456 0.6293 0.7202
0.5836 0.1746 0.4544
0.5836 0.9091 0.1293
0.5909 0.1746 0.2202
0.5909 0.9164 0.3707
0.6293 0.4091 0.0836
0.6293 0.7202 0.5456
0.6746 0.0836 0.9544
0.6746 0.0909 0.7202
0.7202 0.5456 0.6293
0.7202 0.6746 0.0909
0.7798 0.4091 0.8254
0.7798 0.8707 0.9544
0.8254 0.5456 0.4164
0.8254 0.7798 0.4091
0.8707 0.4164 0.0909
0.8707 0.9544 0.7798
0.9091 0.1293 0.5836
0.9091 0.2798 0.3254
0.9164 0.0456 0.3254
0.9164 0.3707 0.5909
0.9544 0.6746 0.0836
0.9544 0.7798 0.8707
```

***

[10]
## InHgW2 (PBE)

Data for a relaxed InHgW2 crystal.

Output
Excess energy over the best structure of this formula in the dataset ... 502 meV/atom
Symmetry ... P4/mmm, No. 123
Magnetic moment ... 0.00 μB/cell
Total DFT energy (no corrections) ... -6.24 eV per atom
ΔE_f ... 96.1 kJ per mole of atoms

POSCAR file:
```
InHgW2
1.0
5.0244 0.0000 0.0000
0.0000 5.0244 0.0000
0.0000 0.0000 2.8911
In Hg W
1 1 2
Direct
0.0000 0.0000 0.0000
0.5000 0.5000 0.0000
0.0000 0.5000 0.5000
0.5000 0.0000 0.5000
```

***

[11]
## Tb2SnHg (PBE)

Data for a relaxed Tb2SnHg crystal.

Output
Symmetry ... Amm2, No. 38
Magnetic moment ... 0.00 μB/cell
Total DFT energy (no corrections) ... -3.99 eV per atom
ΔE_f ... -57.5 kJ per mole of atoms

POSCAR file:
```
Tb2SnHg
1.0
4.4284 0.0000 0.0000
0.0000 2.1916 5.7328
0.0000 -2.1916 5.7328
Tb Sn Hg
2 1 1
Direct
0.0000 0.0000 0.0000
0.5000 0.2771 0.2771
0.0000 0.7231 0.7231
0.5000 0.5462 0.5462
```

***

[12]
## ZrCoSi4 (PBE)

Data for a relaxed ZrCoSi4 crystal.

Output
Raw formation energy ... 65 meV per atom
Symmetry ... F-43m, No. 216
Magnetic moment ... 1.19 μB/cell
Total DFT energy (no corrections) ... -6.16 eV per atom

POSCAR file:
```
ZrCoSi4
1.0
0.0000 3.5014 3.5014
3.5014 0.0000 3.5014
3.5014 3.5014 0.0000
Zr Co Si
1 1 4
Direct
0.0000 0.0000 0.0000
0.2500 0.2500 0.2500
0.1284 0.6239 0.6239
0.6239 0.1284 0.6239
0.6239 0.6239 0.1284
0.6239 0.6239 0.6239
```